[1]
{"formula": "ErRhPb", "functional": "GGA-PBE", "state": "relaxed", "cell": [[4.7453, 0.0000, 0.0000], [-2.3726, 4.1095, 0.0000], [0.0000, 0.0000, 3.3819]], "species": ["Er", "Rh", "Pb"], "fractional_positions": [[0.0000, 0.0000, 0.0000], [0.3333, 0.6667, 0.5000], [0.6667, 0.3333, 0.5000]], "e_form_ev_per_atom": -0.5035, "dos_ef_per_ev_fu": 1.2}

[2]
{"formula": "Er7RhPb4", "functional": "GGA-PBE", "state": "relaxed", "cell": [[7.8124, -2.6272, 0.0000], [7.8124, 2.6272, 0.0000], [-7.0625, 0.0000, 8.8219]], "species": ["Er", "Er", "Er", "Er", "Er", "Er", "Er", "Rh", "Pb", "Pb", "Pb", "Pb"], "fractional_positions": [[0.0000, 0.0000, 0.0000], [0.1443, 0.1443, 0.5612], [0.2789, 0.2789, 0.1327], [0.4305, 0.4305, 0.7211], [0.5695, 0.5695, 0.2789], [0.7211, 0.7211, 0.8673], [0.8557, 0.8557, 0.4388], [0.5000, 0.5000, 0.0000], [0.0803, 0.0803, 0.7765], [0.2225, 0.2225, 0.3484], [0.7775, 0.7775, 0.6516], [0.9197, 0.9197, 0.2235]], "e_form_ev_per_atom": -0.2542, "dos_ef_per_ev_fu": 8.9}

[3]
{"formula": "Er3RhPb", "functional": "GGA-PBE", "state": "relaxed", "cell": [[5.6499, 0.0000, 0.0000], [0.0000, 6.6997, 0.0000], [-1.6279, 0.0000, 7.0283]], "species": ["Er", "Er", "Er", "Er", "Er", "Er", "Rh", "Rh", "Pb", "Pb"], "fractional_positions": [[0.1371, 0.2500, 0.1078], [0.3244, 0.0089, 0.7020], [0.3244, 0.4911, 0.7020], [0.6756, 0.5089, 0.2980], [0.6756, 0.9911, 0.2980], [0.8629, 0.7500, 0.8922], [0.3922, 0.7500, 0.9923], [0.6078, 0.2500, 0.0077], [0.1799, 0.7500, 0.3245], [0.8201, 0.2500, 0.6755]], "e_form_ev_per_atom": -0.5519, "e_above_lowest_polymorph_mev_per_atom": 15, "dos_ef_per_ev_fu": 3.5}